# 1
Computed, not measured: a relaxed BaNd2Ti3O10 crystal at the GGA-PBE level of DFT.

Unit cell a=14.3765 b=14.3765 c=7.6955 alpha=90.00 beta=90.00 gamma=164.30
With the nearest neighbours (Å) after each atom.
Sites, in units of the cell vectors:
Ba 0.2570 0.7430 0.7500  6 O 2.70-2.71
Ba 0.7430 0.2570 0.2500  6 O 2.70-2.71
Nd 0.4198 0.5802 0.2500  8 O 2.44-2.73
Nd 0.5802 0.4198 0.7500  8 O 2.44-2.73
Nd 0.4273 0.5727 0.7500  6 O 2.42-2.51
Nd 0.5727 0.4273 0.2500  6 O 2.42-2.51
Ti 0.1458 0.8542 0.4950  2 O 1.77-1.96
Ti 0.8542 0.1458 0.5050  2 O 1.77-1.96
Ti 0.8542 0.1458 0.9950  2 O 1.77-1.96
Ti 0.1458 0.8542 0.0050  2 O 1.77-1.96
Ti 0.0000 0.0000 0.5000  6 O 1.94-1.99
Ti 0.0000 0.0000 0.0000  6 O 1.94-1.99
O 0.6304 0.3696 0.4927  2 Ti 2.01
O 0.3696 0.6304 0.5073  2 Ti 2.01
O 0.3696 0.6304 0.9927  2 Ti 2.01
O 0.6304 0.3696 0.0073  2 Ti 2.01
O 0.2069 0.7931 0.4528  1 Ti 1.77
O 0.7931 0.2069 0.5472  1 Ti 1.77
O 0.7931 0.2069 0.9528  1 Ti 1.77
O 0.2069 0.7931 0.0472  1 Ti 1.77
O 0.0664 0.9336 0.5554  1 Ti 1.94
O 0.9336 0.0664 0.4446  1 Ti 1.94
O 0.9336 0.0664 0.0554  1 Ti 1.94
O 0.0664 0.9336 0.9446  1 Ti 1.94
O 0.5000 0.5000 0.0000  2 Ti 1.96
O 0.5000 0.5000 0.5000  2 Ti 1.96
O 0.9824 0.0176 0.7500  2 Ti 1.99
O 0.0176 0.9824 0.2500  2 Ti 1.99
O 0.8777 0.1223 0.7500  2 Ti 2.00
O 0.1223 0.8777 0.2500  2 Ti 2.00
O 0.1468 0.8532 0.7500  2 Ti 1.96
O 0.8532 0.1468 0.2500  2 Ti 1.96

Its calculated volume is 430.4 Å³ per cell. Its energy above the lowest structure with this stoichiometry is 7 meV per atom. For the uncorrected formation energy, the calculation gives -3.21 eV/atom. The theoretical density comes out at 5.63 Mg/m³.


# 2
Computed, not measured: a relaxed CrIr crystal at the GGA-PBE level of DFT.

Unit cell a=2.6845 b=2.6845 c=4.2283 alpha=90.00 beta=90.00 gamma=120.00
With the nearest neighbours (Å) after each atom.
Sites, in units of the cell vectors:
Cr 0.6667 0.3333 0.7500  6 Ir 2.62, 6 Cr 2.68
Ir 0.3333 0.6667 0.2500  6 Cr 2.62, 6 Ir 2.68

Its calculated volume is 26.4 Å³ per cell. As for the formation energy: -0.15 eV/atom. The theoretical density comes out at 15.37 Mg/m³.


Number 1: DOS at the Fermi energy 0.00 states/eV/cell. Number 2: DOS at the Fermi energy 2.06 states/eV/cell.